DFT (PBE-GGA) results for a geometry-optimized CaMoBr2 structure.

The structure in POSCAR format:
```
CaMoBr2
1.0
4.911 0.000 0.000
0.000 4.911 0.000
0.000 0.000 3.505
Ca Mo Br
1 1 2
Direct
0.000 0.000 0.000
0.500 0.500 0.000
0.000 0.500 0.500
0.500 0.000 0.500
```

- relative energy among the computed polymorphs (meV per atom) = 303
- symmetry = P4/mmm
- N(E_F) (states/eV per atom) = 0.556
- formation energy without anion corrections (eV per atom) = 0.01
- V (Å³/f.u.) = 85

DFT (PBE-GGA) results for a geometry-optimized CaMoBr2 structure.

The structure in POSCAR format:
```
CaMoBr2
1.0
0.000 3.834 3.834
3.834 0.000 3.834
3.834 3.834 0.000
Ca Mo Br
1 1 2
Direct
0.000 0.000 0.000
0.250 0.250 0.250
0.500 0.500 0.500
0.750 0.750 0.750
```

- relative energy among the computed polymorphs (meV per atom) = 552
- symmetry = F-43m
- N(E_F) (states/eV per atom) = 0.367
- formation energy without anion corrections (eV per atom) = 0.26
- V (Å³/f.u.) = 113

DFT (PBE-GGA) results for a geometry-optimized CaMoBr structure.

The structure in POSCAR format:
```
CaMoBr
1.0
4.659 0.000 0.000
-2.330 4.035 0.000
0.000 0.000 3.612
Ca Mo Br
1 1 1
Direct
0.000 0.000 0.000
0.667 0.333 0.500
0.333 0.667 0.500
```

- relative energy among the computed polymorphs (meV per atom) = 120
- symmetry = P-6m2
- N(E_F) (states/eV per atom) = 0.934
- formation energy without anion corrections (eV per atom) = 0.50
- V (Å³/f.u.) = 68

DFT (PBE-GGA) results for a geometry-optimized CaMoBr2 structure.

The structure in POSCAR format:
```
CaMoBr2
1.0
4.014 0.000 0.000
0.000 4.014 0.000
0.000 0.000 6.377
Ca Mo Br
1 1 2
Direct
0.000 0.000 0.000
0.500 0.500 0.285
0.000 0.000 0.457
0.500 0.500 0.858
```

- relative energy among the computed polymorphs (meV per atom) = 210
- symmetry = P4mm
- N(E_F) (states/eV per atom) = 1.143
- formation energy without anion corrections (eV per atom) = -0.08
- V (Å³/f.u.) = 103

DFT (PBE-GGA) results for a geometry-optimized Ca2MoBr structure.

The structure in POSCAR format:
```
Ca2MoBr
1.0
1.805 1.042 10.240
-1.805 1.042 10.240
0.000 -2.085 10.240
Ca Mo Br
2 1 1
Direct
0.000 0.000 0.000
0.226 0.226 0.226
0.743 0.743 0.743
0.492 0.492 0.492
```

- relative energy among the computed polymorphs (meV per atom) = 441
- symmetry = R3m
- N(E_F) (states/eV per atom) = 0.737
- formation energy without anion corrections (eV per atom) = 0.35
- V (Å³/f.u.) = 116

DFT (PBE-GGA) results for a geometry-optimized Ca2MoBr structure.

The structure in POSCAR format:
```
Ca2MoBr
1.0
2.187 -2.547 0.000
2.187 2.547 0.000
0.000 0.000 8.838
Ca Mo Br
2 1 1
Direct
0.000 0.000 0.242
0.000 0.000 0.758
0.500 0.500 0.000
0.500 0.500 0.500
```

- relative energy among the computed polymorphs (meV per atom) = 0
- symmetry = Cmmm
- N(E_F) (states/eV per atom) = 0.668
- formation energy without anion corrections (eV per atom) = -0.09
- V (Å³/f.u.) = 98

DFT (PBE-GGA) results for a geometry-optimized CaMoBr2 structure.

The structure in POSCAR format:
```
CaMoBr2
1.0
-1.767 2.150 7.204
1.767 -2.150 7.204
1.767 2.150 -7.204
Ca Mo Br
1 1 2
Direct
0.000 0.000 0.000
0.186 0.686 0.500
0.410 0.410 0.000
0.674 0.174 0.500
```

- relative energy among the computed polymorphs (meV per atom) = 177
- symmetry = Imm2
- N(E_F) (states/eV per atom) = 0.632
- formation energy without anion corrections (eV per atom) = -0.12
- V (Å³/f.u.) = 109

DFT (PBE-GGA) results for a geometry-optimized CaMoBr structure.

The structure in POSCAR format:
```
CaMoBr
1.0
0.000 3.733 3.733
3.733 0.000 3.733
3.733 3.733 0.000
Ca Mo Br
1 1 1
Direct
0.000 0.000 0.000
0.250 0.250 0.250
0.750 0.750 0.750
```

- relative energy among the computed polymorphs (meV per atom) = 557
- symmetry = F-43m
- N(E_F) (states/eV per atom) = 0.606
- formation energy without anion corrections (eV per atom) = 0.94
- V (Å³/f.u.) = 104

DFT (PBE-GGA) results for a geometry-optimized CaMoBr2 structure.

The structure in POSCAR format:
```
CaMoBr2
1.0
1.973 1.139 10.656
-1.973 1.139 10.656
0.000 -2.278 10.656
Ca Mo Br
1 1 2
Direct
0.000 0.000 0.000
0.500 0.500 0.500
0.279 0.279 0.279
0.721 0.721 0.721
```

- relative energy among the computed polymorphs (meV per atom) = 177
- symmetry = R-3m
- N(E_F) (states/eV per atom) = 0.226
- formation energy without anion corrections (eV per atom) = -0.12
- V (Å³/f.u.) = 144

DFT (PBE-GGA) results for a geometry-optimized CaMoBr2 structure.

The structure in POSCAR format:
```
CaMoBr2
1.0
3.390 0.000 0.000
0.000 3.390 0.000
0.000 0.000 8.927
Ca Mo Br
1 1 2
Direct
0.000 0.000 0.000
0.500 0.500 0.274
0.000 0.000 0.400
0.500 0.500 0.808
```

- relative energy among the computed polymorphs (meV per atom) = 0
- symmetry = P4mm
- N(E_F) (states/eV per atom) = 0.684
- formation energy without anion corrections (eV per atom) = -0.29
- V (Å³/f.u.) = 103

DFT (PBE-GGA) results for a geometry-optimized CaMoBr structure.

The structure in POSCAR format:
```
CaMoBr
1.0
-1.661 1.661 6.010
1.661 -1.661 6.010
1.661 1.661 -6.010
Ca Mo Br
1 1 1
Direct
0.000 0.000 0.000
0.683 0.683 0.000
0.300 0.300 0.000
```

- relative energy among the computed polymorphs (meV per atom) = 0
- symmetry = I4mm
- N(E_F) (states/eV per atom) = 0.300
- formation energy without anion corrections (eV per atom) = 0.38
- V (Å³/f.u.) = 66

DFT (PBE-GGA) results for a geometry-optimized CaMoBr2 structure.

The structure in POSCAR format:
```
CaMoBr2
1.0
3.582 0.000 0.000
0.000 4.511 0.000
0.000 0.000 6.348
Ca Mo Br
1 1 2
Direct
0.000 0.000 0.000
0.500 0.000 0.500
0.000 0.500 0.500
0.500 0.500 0.000
```

- relative energy among the computed polymorphs (meV per atom) = 244
- symmetry = Pmmm
- N(E_F) (states/eV per atom) = 0.437
- formation energy without anion corrections (eV per atom) = -0.05
- V (Å³/f.u.) = 103